(1)
11
Lattice="-4.0933 -2.6584 -1.0874 4.4478 -2.2660 0.2942 -2.7365 -3.0622 17.7872" Properties=species:S:1:pos:R:3 comment="Ba3Li2Tm2Bi4 PBE optimized geometry" formation_energy_ev_per_atom=-0.709 spacegroup="P-3m1, No. 164" pbc="T T T"
Ba -2.0348 -2.2770 13.2261
Ba 0.0000 0.0000 0.0000
Ba -0.7017 -0.7852 4.5610
Li -3.6354 -5.2011 14.9021
Li 1.2534 -2.7856 2.0918
Tm -2.4540 -3.8790 7.2231
Tm 0.0720 -4.1076 9.7708
Bi -1.5967 -2.9197 1.6506
Bi -0.7853 -5.0670 15.3433
Bi -2.9436 -4.4270 10.4058
Bi 0.5616 -3.5597 6.5881

(2)
10
Lattice="5.0527 0.0000 0.0000 0.0000 5.0527 0.0000 0.0000 0.0000 12.2430" Properties=species:S:1:pos:R:3 comment="Ba2Li3YBi4 PBE optimized geometry" formation_energy_ev_per_atom=-0.726 spacegroup="P-4m2, No. 115" pbc="T T T"
Ba 2.5263 0.0000 2.7272
Ba 0.0000 2.5263 9.5158
Li 0.0000 0.0000 6.1215
Li 2.5263 0.0000 10.7966
Li 0.0000 2.5263 1.4464
Y 2.5263 2.5263 6.1215
Bi 2.5263 2.5263 0.0000
Bi 0.0000 0.0000 0.0000
Bi 2.5263 0.0000 7.9111
Bi 0.0000 2.5263 4.3319

(3)
10
Lattice="5.1802 0.0000 0.0000 0.0000 5.1802 0.0000 0.0000 0.0000 11.0549" Properties=species:S:1:pos:R:3 comment="Ba2LiZn3Bi4 PBE optimized geometry" formation_energy_ev_per_atom=-0.451 spacegroup="P-4m2, No. 115" pbc="T T T"
Ba 2.5901 0.0000 2.7956
Ba 0.0000 2.5901 8.2593
Li 2.5901 2.5901 5.5274
Zn 0.0000 0.0000 5.5274
Zn 2.5901 0.0000 9.6921
Zn 0.0000 2.5901 1.3628
Bi 2.5901 2.5901 0.0000
Bi 0.0000 0.0000 0.0000
Bi 2.5901 0.0000 6.9248
Bi 0.0000 2.5901 4.1300

(4)
10
Lattice="-4.3449 -0.5987 -2.2379 -0.8607 -3.9989 2.7410 -5.1694 6.7537 8.2297" Properties=species:S:1:pos:R:3 comment="Ba2Li3ZnBi4 PBE optimized geometry" formation_energy_ev_per_atom=-0.647 spacegroup="P-4m2, No. 115" pbc="T T T"
Ba -3.4766 1.4044 0.9572
Ba -4.2956 3.0505 7.5241
Li -2.5847 3.3768 4.1149
Li -6.6617 5.5657 6.0279
Li -1.1105 -1.1108 2.4533
Zn -5.1875 1.0780 4.3664
Bi -2.6028 -2.2988 0.2516
Bi 0.0000 0.0000 0.0000
Bi -5.4418 3.9720 4.0859
Bi -2.3304 0.4829 4.3954

no.,N(E_F) (states/eV/atom)
1,0.5417
2,0.3891
3,0.2826
4,0.1115